(1)
Entry from the Alexandria database: a relaxed NiPt crystal (PBE).

Lattice parameters (Å, degrees): 3.7747 5.3688 7.9923 90.00 90.00 90.00
With the nearest neighbours (Å) after each atom.
Fractional positions:
Ni (0.0000, 0.5018, 0.3299)  6 Pt 2.53-2.76, 6 Ni 2.60-2.71
Ni (0.5000, 0.2520, 0.8414)  3 Ni 2.56-2.65, 9 Pt 2.64-2.83
Ni (0.5000, 0.7390, 0.1721)  7 Ni 2.56-2.71, 5 Pt 2.60-2.64
Ni (0.5000, 0.2390, 0.1613)  7 Ni 2.56-2.71, 5 Pt 2.60-2.64
Ni (0.0000, 0.0018, 0.0034)  6 Pt 2.53-2.76, 6 Ni 2.60-2.71
Ni (0.5000, 0.7520, 0.4919)  3 Ni 2.56-2.65, 9 Pt 2.64-2.83
Pt (0.0000, 0.0090, 0.6706)  5 Ni 2.66-2.74, 7 Pt 2.69-2.80
Pt (0.0000, 0.4885, 0.0134)  9 Ni 2.53-2.76, 3 Pt 2.73-2.80
Pt (0.5000, 0.7597, 0.8463)  6 Ni 2.61-2.83, 6 Pt 2.71-2.74
Pt (0.5000, 0.2597, 0.4871)  6 Ni 2.61-2.83, 6 Pt 2.71-2.74
Pt (0.0000, 0.5090, 0.6628)  5 Ni 2.66-2.74, 7 Pt 2.69-2.80
Pt (0.0000, 0.9885, 0.3199)  9 Ni 2.53-2.76, 3 Pt 2.73-2.80

**Formation energy from the elements**: -0.07 eV per atom
**DFT total energy**: -5.981 eV per atom


(2)
Entry from the Alexandria database: a relaxed NiPt5 crystal (PBE).

Lattice parameters (Å, degrees): 11.6981 2.7709 2.7709 90.00 90.00 90.00
With the nearest neighbours (Å) after each atom.
Fractional positions:
Pt (0.5077, 0.5000, 0.5000)  12 Pt 2.77-2.84
Pt (0.6835, 0.0000, 0.0000)  4 Ni 2.63, 8 Pt 2.77-2.84
Pt (0.9832, 0.0000, 0.0000)  4 Ni 2.63, 8 Pt 2.77-2.84
Pt (0.3333, 0.0000, 0.0000)  12 Pt 2.77-2.83
Pt (0.1590, 0.5000, 0.5000)  12 Pt 2.77-2.84
Ni (0.8333, 0.5000, 0.5000)  8 Pt 2.63, 4 Ni 2.77

**Formation energy from the elements**: -0.05 eV per atom
**DFT total energy**: -6.052 eV per atom


(3)
Entry from the Alexandria database: a relaxed Ni5Pt2 crystal (PBE).

Lattice parameters (Å, degrees): 4.4628 6.2165 6.7401 92.90 90.00 111.04
With the nearest neighbours (Å) after each atom.
Fractional positions:
Pt (0.7515, 0.1543, 0.6052)  10 Ni 2.54-2.73, 2 Pt 2.71-2.72
Pt (0.5971, 0.8457, 0.8948)  10 Ni 2.54-2.73, 2 Pt 2.71-2.72
Pt (0.2485, 0.8457, 0.3948)  10 Ni 2.54-2.73, 2 Pt 2.71-2.72
Pt (0.4029, 0.1543, 0.1052)  10 Ni 2.54-2.73, 2 Pt 2.71-2.72
Ni (0.4556, 0.5706, 0.1826)  9 Ni 2.53-2.65, 3 Pt 2.54-2.59
Ni (0.6841, 0.7026, 0.5370)  8 Ni 2.49-2.66, 4 Pt 2.56-2.73
Ni (0.8320, 0.0000, 0.2500)  6 Pt 2.59-2.64, 6 Ni 2.61-2.66
Ni (0.9815, 0.2974, 0.9630)  8 Ni 2.49-2.66, 4 Pt 2.56-2.73
Ni (0.3159, 0.2974, 0.4630)  8 Ni 2.49-2.66, 4 Pt 2.56-2.73
Ni (0.1680, 0.0000, 0.7500)  6 Pt 2.59-2.64, 6 Ni 2.61-2.66
Ni (0.8849, 0.4294, 0.3174)  9 Ni 2.53-2.65, 3 Pt 2.54-2.59
Ni (0.1151, 0.5706, 0.6826)  9 Ni 2.53-2.65, 3 Pt 2.54-2.59
Ni (0.5444, 0.4294, 0.8174)  9 Ni 2.53-2.65, 3 Pt 2.54-2.59
Ni (0.0185, 0.7026, 0.0370)  8 Ni 2.49-2.66, 4 Pt 2.56-2.73

**Formation energy from the elements**: -0.03 eV per atom
**DFT total energy**: -5.890 eV per atom


(4)
Entry from the Alexandria database: a relaxed Ni3Pt13 crystal (PBE).

Lattice parameters (Å, degrees): 5.5725 5.5725 7.7122 90.00 90.00 90.20
With the nearest neighbours (Å) after each atom.
Fractional positions:
Pt (0.9971, 0.4957, 0.7542)  3 Ni 2.71-2.81, 9 Pt 2.72-2.82
Pt (0.9971, 0.4957, 0.2458)  3 Ni 2.71-2.81, 9 Pt 2.72-2.82
Pt (0.7548, 0.2452, 0.5000)  2 Ni 2.73, 10 Pt 2.74-2.83
Pt (0.2466, 0.7534, 0.5000)  10 Pt 2.74-2.83, 2 Ni 2.75
Pt (0.5028, 0.4972, 0.7559)  1 Ni 2.72, 11 Pt 2.75-2.83
Pt (0.7571, 0.7631, 0.0000)  4 Ni 2.69-2.86, 8 Pt 2.72-2.85
Pt (0.2369, 0.2429, 0.0000)  4 Ni 2.69-2.86, 8 Pt 2.72-2.85
Pt (0.7548, 0.7529, 0.5000)  2 Ni 2.74, 10 Pt 2.74-2.83
Pt (0.5028, 0.4972, 0.2441)  1 Ni 2.72, 11 Pt 2.75-2.83
Pt (0.2452, 0.7548, 0.0000)  10 Pt 2.72-2.85, 2 Ni 2.73
Pt (0.2471, 0.2452, 0.5000)  2 Ni 2.74, 10 Pt 2.74-2.83
Pt (0.5043, 0.0029, 0.7542)  3 Ni 2.71-2.81, 9 Pt 2.72-2.82
Pt (0.5043, 0.0029, 0.2458)  3 Ni 2.71-2.81, 9 Pt 2.72-2.82
Ni (0.9992, 0.0008, 0.2489)  11 Pt 2.69-2.81, 1 Ni 2.74
Ni (0.9992, 0.0008, 0.7511)  11 Pt 2.69-2.81, 1 Ni 2.74
Ni (0.7507, 0.2493, 0.0000)  10 Pt 2.71-2.86, 2 Ni 2.74

**Formation energy from the elements**: -0.04 eV per atom
**DFT total energy**: -6.028 eV per atom


(5)
Entry from the Alexandria database: a relaxed NiPt2 crystal (PBE).

Lattice parameters (Å, degrees): 2.7314 7.0884 4.5562 90.00 90.00 78.89
With the nearest neighbours (Å) after each atom.
Fractional positions:
Pt (0.2188, 0.5623, 0.5000)  2 Ni 2.63, 10 Pt 2.73-2.88
Pt (0.6548, 0.6903, 0.0000)  4 Ni 2.57-2.65, 8 Pt 2.73-2.88
Pt (0.3367, 0.3265, 0.0000)  2 Ni 2.63, 10 Pt 2.73-2.88
Pt (0.9007, 0.1986, 0.5000)  4 Ni 2.57-2.65, 8 Pt 2.73-2.88
Ni (0.5576, 0.8848, 0.5000)  6 Pt 2.57-2.65, 6 Ni 2.73-2.78
Ni (0.9979, 0.0041, 0.0000)  6 Pt 2.57-2.65, 6 Ni 2.73-2.78

**Formation energy from the elements**: -0.01 eV per atom
**DFT total energy**: -5.963 eV per atom


(6)
Entry from the Alexandria database: a relaxed Ni4Pt5 crystal (PBE).

Lattice parameters (Å, degrees): 4.6782 5.9899 4.6762 75.06 99.52 96.79
With the nearest neighbours (Å) after each atom.
Fractional positions:
Ni (0.5450, 0.1141, 0.2193)  5 Ni 2.58-2.76, 7 Pt 2.63-2.72
Ni (0.2252, 0.4331, 0.8919)  4 Ni 2.58-2.69, 8 Pt 2.66-2.82
Ni (0.1166, 0.2224, 0.4376)  6 Ni 2.61-2.76, 6 Pt 2.62-2.74
Ni (0.0032, 0.0076, 0.0053)  7 Pt 2.59-2.80, 5 Ni 2.59-2.74
Pt (0.6806, 0.3238, 0.6704)  7 Ni 2.59-2.74, 5 Pt 2.63-2.81
Pt (0.4367, 0.8977, 0.7822)  6 Ni 2.63-2.79, 6 Pt 2.63-2.78
Pt (0.3269, 0.6628, 0.3351)  5 Ni 2.65-2.72, 7 Pt 2.69-2.76
Pt (0.8869, 0.7943, 0.5485)  5 Ni 2.62-2.82, 7 Pt 2.69-2.81
Pt (0.7789, 0.5441, 0.1097)  5 Ni 2.63-2.80, 7 Pt 2.67-2.79

**Formation energy from the elements**: -0.05 eV per atom
**DFT total energy**: -5.973 eV per atom


(7)
Entry from the Alexandria database: a relaxed NiPt5 crystal (PBE).

Lattice parameters (Å, degrees): 2.7441 7.2529 4.6500 90.00 90.00 79.10
With the nearest neighbours (Å) after each atom.
Fractional positions:
Pt (0.8895, 0.2210, 0.5000)  10 Pt 2.71-2.79, 2 Ni 2.81
Pt (0.2216, 0.5568, 0.5000)  12 Pt 2.74-2.88
Pt (0.5534, 0.8931, 0.5000)  8 Pt 2.71-2.78, 4 Ni 2.80
Pt (0.6607, 0.6785, 0.0000)  2 Ni 2.66, 10 Pt 2.74-2.91
Pt (0.3408, 0.3185, 0.0000)  2 Ni 2.66, 10 Pt 2.74-2.91
Ni (0.0006, 0.9987, 0.0000)  10 Pt 2.66-2.81, 2 Ni 2.74

**Formation energy from the elements**: 0.00 eV per atom
**DFT total energy**: -5.993 eV per atom


(8)
Entry from the Alexandria database: a relaxed NiPt crystal (PBE).

Lattice parameters (Å, degrees): 2.7206 2.7206 7.2622 90.00 90.00 90.00
With the nearest neighbours (Å) after each atom.
Fractional positions:
Pt (0.2500, 0.2500, 0.6457)  4 Ni 2.63, 8 Pt 2.72-2.86
Pt (0.7500, 0.7500, 0.3543)  4 Ni 2.63, 8 Pt 2.72-2.86
Ni (0.2500, 0.2500, 0.1064)  8 Ni 2.47-2.72, 4 Pt 2.63
Ni (0.7500, 0.7500, 0.8936)  8 Ni 2.47-2.72, 4 Pt 2.63

**Formation energy from the elements**: -0.05 eV per atom
**DFT total energy**: -5.962 eV per atom


(9)
Entry from the Alexandria database: a relaxed Ni7Pt5 crystal (PBE).

Lattice parameters (Å, degrees): 3.7226 5.3324 7.9284 90.00 90.00 90.00
With the nearest neighbours (Å) after each atom.
Fractional positions:
Ni (0.5000, 0.2490, 0.1736)  7 Ni 2.53-2.68, 5 Pt 2.60-2.70
Ni (0.5000, 0.2490, 0.4931)  7 Ni 2.53-2.68, 5 Pt 2.60-2.70
Ni (0.0000, 0.0000, 0.6597)  7 Pt 2.59-2.67, 5 Ni 2.64-2.75
Ni (0.5000, 0.7510, 0.4931)  7 Ni 2.53-2.68, 5 Pt 2.60-2.70
Ni (0.0000, 0.0000, 0.0070)  7 Pt 2.59-2.67, 5 Ni 2.64-2.75
Ni (0.0000, 0.5000, 0.3333)  4 Pt 2.50-2.67, 8 Ni 2.62
Ni (0.5000, 0.7510, 0.1736)  7 Ni 2.53-2.68, 5 Pt 2.60-2.70
Pt (0.5000, 0.7563, 0.8333)  6 Pt 2.60-2.74, 6 Ni 2.65-2.70
Pt (0.0000, 0.0000, 0.3333)  12 Ni 2.59-2.67
Pt (0.0000, 0.5000, 0.6484)  7 Ni 2.50-2.67, 4 Pt 2.74
Pt (0.0000, 0.5000, 0.0183)  7 Ni 2.50-2.67, 4 Pt 2.74
Pt (0.5000, 0.2437, 0.8333)  6 Pt 2.60-2.74, 6 Ni 2.65-2.70

**Formation energy from the elements**: -0.06 eV per atom
**DFT total energy**: -5.951 eV per atom


(10)
Entry from the Alexandria database: a relaxed Ni4Pt crystal (PBE).

Lattice parameters (Å, degrees): 3.9075 5.0590 6.8789 111.57 106.50 90.00
With the nearest neighbours (Å) after each atom.
Fractional positions:
Pt (0.1037, 0.8537, 0.2074)  13 Ni 2.53-2.75
Pt (0.8963, 0.1463, 0.7926)  13 Ni 2.53-2.75
Ni (0.5000, 0.5000, 0.0000)  8 Ni 2.40-2.69, 4 Pt 2.65
Ni (0.6972, 0.2054, 0.3945)  7 Ni 2.34-2.61, 2 Pt 2.61
Ni (0.3028, 0.7946, 0.6055)  7 Ni 2.34-2.61, 2 Pt 2.61
Ni (0.1103, 0.3603, 0.2205)  3 Pt 2.53-2.61, 10 Ni 2.54-2.69
Ni (0.3028, 0.3109, 0.6055)  7 Ni 2.34-2.61, 2 Pt 2.61
Ni (0.8897, 0.6397, 0.7795)  3 Pt 2.53-2.61, 10 Ni 2.54-2.69
Ni (0.6972, 0.6891, 0.3945)  7 Ni 2.34-2.61, 2 Pt 2.61
Ni (0.5000, 0.0000, 0.0000)  8 Ni 2.40-2.69, 4 Pt 2.65

**Formation energy from the elements**: 0.00 eV per atom
**DFT total energy**: -5.828 eV per atom


(11)
Entry from the Alexandria database: a relaxed Ni3Pt crystal (PBE).

Lattice parameters (Å, degrees): 5.1664 5.1664 4.2698 90.00 90.00 119.93
With the nearest neighbours (Å) after each atom.
Fractional positions:
Pt (0.5918, 0.4082, 0.2500)  10 Ni 2.53-2.63, 2 Pt 2.69
Pt (0.4082, 0.5918, 0.7500)  10 Ni 2.53-2.63, 2 Pt 2.69
Ni (0.4082, 0.0819, 0.7500)  4 Pt 2.53-2.63, 8 Ni 2.53-2.64
Ni (0.5918, 0.9181, 0.2500)  4 Pt 2.53-2.63, 8 Ni 2.53-2.64
Ni (0.0819, 0.4082, 0.2500)  4 Pt 2.53-2.63, 8 Ni 2.53-2.64
Ni (0.9181, 0.5918, 0.7500)  4 Pt 2.53-2.63, 8 Ni 2.53-2.64
Ni (0.9135, 0.0865, 0.7500)  10 Ni 2.57-2.64, 2 Pt 2.59
Ni (0.0865, 0.9135, 0.2500)  10 Ni 2.57-2.64, 2 Pt 2.59

**Formation energy from the elements**: -0.01 eV per atom
**DFT total energy**: -5.860 eV per atom


(12)
Entry from the Alexandria database: a relaxed NiPt crystal (PBE).

Lattice parameters (Å, degrees): 4.6187 8.0435 4.6187 90.00 108.47 90.00
With the nearest neighbours (Å) after each atom.
Fractional positions:
Ni (0.0000, 0.6711, 0.0000)  10 Pt 2.70-2.72, 2 Ni 2.74-2.82
Ni (0.0000, 0.0122, 0.0000)  8 Ni 2.48-2.74, 4 Pt 2.65
Ni (0.0000, 0.3206, 0.0000)  5 Ni 2.48-2.63, 6 Pt 2.69-2.70
Ni (0.0000, 0.1640, 0.5000)  4 Pt 2.53-2.64, 8 Ni 2.61-2.70
Ni (0.5000, 0.1640, 0.0000)  4 Pt 2.53-2.64, 8 Ni 2.61-2.70
Ni (0.5000, 0.0033, 0.5000)  6 Pt 2.49-2.68, 6 Ni 2.65-2.70
Pt (0.5000, 0.3123, 0.5000)  7 Ni 2.49-2.70, 4 Pt 2.72
Pt (0.5000, 0.8493, 0.0000)  7 Ni 2.53-2.72, 4 Pt 2.70-2.72
Pt (0.5000, 0.6703, 0.5000)  3 Ni 2.68-2.70, 9 Pt 2.72-2.88
Pt (0.0000, 0.4918, 0.5000)  5 Ni 2.64-2.72, 7 Pt 2.70-2.88
Pt (0.0000, 0.8493, 0.5000)  7 Ni 2.53-2.72, 4 Pt 2.70-2.72
Pt (0.5000, 0.4918, 0.0000)  5 Ni 2.64-2.72, 7 Pt 2.70-2.88

**Formation energy from the elements**: -0.05 eV per atom
**DFT total energy**: -5.962 eV per atom


Repeat the third record exactly.
Entry from the Alexandria database: a relaxed Ni5Pt2 crystal (PBE).

Lattice parameters (Å, degrees): 4.4628 6.2165 6.7401 92.90 90.00 111.04
With the nearest neighbours (Å) after each atom.
Fractional positions:
Pt (0.7515, 0.1543, 0.6052)  10 Ni 2.54-2.73, 2 Pt 2.71-2.72
Pt (0.5971, 0.8457, 0.8948)  10 Ni 2.54-2.73, 2 Pt 2.71-2.72
Pt (0.2485, 0.8457, 0.3948)  10 Ni 2.54-2.73, 2 Pt 2.71-2.72
Pt (0.4029, 0.1543, 0.1052)  10 Ni 2.54-2.73, 2 Pt 2.71-2.72
Ni (0.4556, 0.5706, 0.1826)  9 Ni 2.53-2.65, 3 Pt 2.54-2.59
Ni (0.6841, 0.7026, 0.5370)  8 Ni 2.49-2.66, 4 Pt 2.56-2.73
Ni (0.8320, 0.0000, 0.2500)  6 Pt 2.59-2.64, 6 Ni 2.61-2.66
Ni (0.9815, 0.2974, 0.9630)  8 Ni 2.49-2.66, 4 Pt 2.56-2.73
Ni (0.3159, 0.2974, 0.4630)  8 Ni 2.49-2.66, 4 Pt 2.56-2.73
Ni (0.1680, 0.0000, 0.7500)  6 Pt 2.59-2.64, 6 Ni 2.61-2.66
Ni (0.8849, 0.4294, 0.3174)  9 Ni 2.53-2.65, 3 Pt 2.54-2.59
Ni (0.1151, 0.5706, 0.6826)  9 Ni 2.53-2.65, 3 Pt 2.54-2.59
Ni (0.5444, 0.4294, 0.8174)  9 Ni 2.53-2.65, 3 Pt 2.54-2.59
Ni (0.0185, 0.7026, 0.0370)  8 Ni 2.49-2.66, 4 Pt 2.56-2.73

**Formation energy from the elements**: -0.03 eV per atom
**DFT total energy**: -5.890 eV per atom


> Number 4 is which compound?

Ni3Pt13


> Number 2 is which compound?

NiPt5


> What is the DFT total energy in the first record?

-5.981 eV per atom